(1)
# CaMgHgBi (PBE, relaxed)
# * total DFT energy (no corrections): -2.37 eV/atom
# * SG: F-43m
# * energy relative to the elements: -41.1 kJ/mol of atoms
data_CaMgHgBi
_cell_length_a 5.388
_cell_length_b 5.388
_cell_length_c 5.388
_cell_angle_alpha 60.00
_cell_angle_beta 60.00
_cell_angle_gamma 60.00
_symmetry_space_group_name_H-M 'P 1'
_symmetry_Int_Tables_number 1
_symmetry_space_group_name_Hall 'P 1'
loop_
_atom_site_label
_atom_site_fract_x
_atom_site_fract_y
_atom_site_fract_z
Mg1 0.500 0.500 0.500
Ca1 0.000 0.000 0.000
Bi1 0.750 0.750 0.750
Hg1 0.250 0.250 0.250



(2)
# Ca4HgBiN (PBE, relaxed)
# * formation energy (no corrections): -0.713 eV/atom
# * total DFT energy (no corrections): -3.64 eV/atom
# * SG: Cmcm
data_Ca4HgBiN
_cell_length_a 6.914
_cell_length_b 6.927
_cell_length_c 8.727
_cell_angle_alpha 90.00
_cell_angle_beta 113.34
_cell_angle_gamma 90.00
_symmetry_space_group_name_H-M 'P 1'
_symmetry_Int_Tables_number 1
_symmetry_space_group_name_Hall 'P 1'
loop_
_atom_site_label
_atom_site_fract_x
_atom_site_fract_y
_atom_site_fract_z
Ca1 0.903 0.250 0.806
Ca2 0.406 0.750 0.813
Ca3 0.097 0.750 0.194
Ca4 0.594 0.250 0.187
Ca5 0.500 0.500 0.500
Ca6 0.000 0.000 0.500
Ca7 0.500 0.000 0.500
Ca8 0.000 0.500 0.500
Hg1 0.105 0.250 0.210
Hg2 0.895 0.750 0.790
Bi1 0.609 0.750 0.219
Bi2 0.391 0.250 0.781
N1 0.251 0.750 0.502
N2 0.749 0.250 0.498



(3)
# CaNdHgBi (PBE, relaxed)
# * total DFT energy (no corrections): -3.32 eV/atom
# * SG: F-43m
# * energy relative to the elements: -56.4 kJ/mol of atoms
data_CaNdHgBi
_cell_length_a 5.509
_cell_length_b 5.509
_cell_length_c 5.509
_cell_angle_alpha 60.00
_cell_angle_beta 60.00
_cell_angle_gamma 60.00
_symmetry_space_group_name_H-M 'P 1'
_symmetry_Int_Tables_number 1
_symmetry_space_group_name_Hall 'P 1'
loop_
_atom_site_label
_atom_site_fract_x
_atom_site_fract_y
_atom_site_fract_z
Ca1 0.250 0.250 0.250
Nd1 0.750 0.750 0.750
Bi1 0.000 0.000 0.000
Hg1 0.500 0.500 0.500



(4)
# CaNiHg2Bi (PBE, relaxed)
# * total DFT energy (no corrections): -2.61 eV/atom
# * SG: P4/mmm
# * energy relative to the elements: -14.7 kJ/mol of atoms
data_CaNiHg2Bi
_cell_length_a 5.020
_cell_length_b 5.020
_cell_length_c 5.241
_cell_angle_alpha 90.00
_cell_angle_beta 90.00
_cell_angle_gamma 90.00
_symmetry_space_group_name_H-M 'P 1'
_symmetry_Int_Tables_number 1
_symmetry_space_group_name_Hall 'P 1'
loop_
_atom_site_label
_atom_site_fract_x
_atom_site_fract_y
_atom_site_fract_z
Ni1 0.000 0.000 0.000
Ca1 0.500 0.500 0.500
Bi1 0.000 0.000 0.500
Hg1 0.000 0.500 0.000
Hg2 0.500 0.000 0.000



(5)
# Ca2HgBiO (PBE, relaxed)
# * formation energy (no corrections): -1.231 eV/atom
# * total DFT energy (no corrections): -3.86 eV/atom
# * SG: P4/mmm
data_Ca2HgBiO
_cell_length_a 4.731
_cell_length_b 5.266
_cell_length_c 4.731
_cell_angle_alpha 90.00
_cell_angle_beta 90.00
_cell_angle_gamma 90.00
_symmetry_space_group_name_H-M 'P 1'
_symmetry_Int_Tables_number 1
_symmetry_space_group_name_Hall 'P 1'
loop_
_atom_site_label
_atom_site_fract_x
_atom_site_fract_y
_atom_site_fract_z
Ca1 0.000 0.000 0.500
Ca2 0.500 0.000 0.000
Bi1 0.500 0.500 0.500
O1 0.000 0.000 0.000
Hg1 0.000 0.500 0.000



(6)
# Ca2Hg2BiO6 (PBE, relaxed)
# * formation energy (no corrections): -1.465 eV/atom
# * total DFT energy (no corrections): -4.94 eV/atom
# * SG: C2/m
data_Ca2Hg2BiO6
_cell_length_a 6.241
_cell_length_b 6.241
_cell_length_c 6.196
_cell_angle_alpha 88.12
_cell_angle_beta 88.12
_cell_angle_gamma 121.44
_symmetry_space_group_name_H-M 'P 1'
_symmetry_Int_Tables_number 1
_symmetry_space_group_name_Hall 'P 1'
loop_
_atom_site_label
_atom_site_fract_x
_atom_site_fract_y
_atom_site_fract_z
Ca1 0.342 0.658 0.500
Ca2 0.658 0.342 0.500
Hg1 0.834 0.166 0.000
Hg2 0.166 0.834 0.000
Bi1 0.000 0.000 0.500
O1 0.680 0.680 0.672
O2 0.974 0.308 0.695
O3 0.320 0.320 0.328
O4 0.308 0.974 0.695
O5 0.026 0.692 0.305
O6 0.692 0.026 0.305



(7)
# CaPaHgBi (PBE, relaxed)
# * total DFT energy (no corrections): -4.05 eV/atom
# * SG: F-43m
# * energy relative to the elements: -12.3 kJ/mol of atoms
data_CaPaHgBi
_cell_length_a 5.423
_cell_length_b 5.423
_cell_length_c 5.423
_cell_angle_alpha 60.00
_cell_angle_beta 60.00
_cell_angle_gamma 60.00
_symmetry_space_group_name_H-M 'P 1'
_symmetry_Int_Tables_number 1
_symmetry_space_group_name_Hall 'P 1'
loop_
_atom_site_label
_atom_site_fract_x
_atom_site_fract_y
_atom_site_fract_z
Ca1 0.250 0.250 0.250
Pa1 0.750 0.750 0.750
Bi1 0.500 0.500 0.500
Hg1 0.000 0.000 0.000



(8)
# Ca2Hg2Bi2Pb (PBE, relaxed)
# * total DFT energy (no corrections): -2.62 eV/atom
# * SG: R-3m
# * energy relative to the elements: -30.8 kJ/mol of atoms
data_Ca2Hg2Bi2Pb
_cell_length_a 5.408
_cell_length_b 5.408
_cell_length_c 9.003
_cell_angle_alpha 72.52
_cell_angle_beta 72.52
_cell_angle_gamma 60.00
_symmetry_space_group_name_H-M 'P 1'
_symmetry_Int_Tables_number 1
_symmetry_space_group_name_Hall 'P 1'
loop_
_atom_site_label
_atom_site_fract_x
_atom_site_fract_y
_atom_site_fract_z
Ca1 0.128 0.128 0.616
Ca2 0.872 0.872 0.384
Hg1 0.561 0.561 0.316
Hg2 0.439 0.439 0.684
Bi1 0.733 0.733 0.802
Bi2 0.267 0.267 0.198
Pb1 0.000 0.000 0.000